# PrPa2CoO8

Crystalline PrPa2CoO8 at its relaxed geometry (PBE+U, the Alexandria database).

Calculated values
DFT total energy: -8.41 eV/atom

Structure (CIF):
```
data_PrPa2CoO8
_cell_length_a 5.1541
_cell_length_b 5.1541
_cell_length_c 6.4558
_cell_angle_alpha 90.00
_cell_angle_beta 90.00
_cell_angle_gamma 120.00
_symmetry_space_group_name_H-M 'P 1'
_symmetry_Int_Tables_number 1
_symmetry_space_group_name_Hall 'P 1'
loop_
_atom_site_label
_atom_site_type_symbol
_atom_site_fract_x
_atom_site_fract_y
_atom_site_fract_z
O1 O 0.8317 0.1683 0.8309
O2 O 0.1683 0.3366 0.1691
O3 O 0.6634 0.8317 0.1691
O4 O 0.1683 0.8317 0.1691
O5 O 0.6667 0.3333 0.4301
O6 O 0.8317 0.6634 0.8309
O7 O 0.3366 0.1683 0.8309
O8 O 0.3333 0.6667 0.5699
Pa1 Pa 0.6667 0.3333 0.1315
Pa2 Pa 0.3333 0.6667 0.8685
Pr1 Pr 0.0000 0.0000 0.5000
Co1 Co 0.0000 0.0000 0.0000
```